# 1
! BeOs2W PBE-GGA optimized geometry; values from VASP
! - Symmetry: Cmm2, No. 35
! - DFT formation energy: 0.398 eV per atom
! - Mass density: 17.14 g cm⁻³
&SYSTEM
  ibrav = 0, nat = 4, ntyp = 3
/
ATOMIC_SPECIES
Be 9.01 Be.upf
Os 190.23 Os.upf
W 183.84 W.upf
ATOMIC_POSITIONS crystal
Be 0.500 0.500 0.758
Os 0.000 0.000 0.976
Os 0.500 0.500 0.250
W 0.000 0.000 0.516
CELL_PARAMETERS angstrom
2.681 -0.003 0.000
-1.124 2.433 0.000
0.000 0.000 8.522

# 2
! Be2OsW PBE-GGA optimized geometry; values from VASP
! - Symmetry: Immm, No. 71
! - DFT formation energy: 0.166 eV per atom
! - Mass density: 12.99 g cm⁻³
&SYSTEM
  ibrav = 0, nat = 4, ntyp = 3
/
ATOMIC_SPECIES
Be 9.01 Be.upf
Os 190.23 Os.upf
W 183.84 W.upf
ATOMIC_POSITIONS crystal
Be 0.990 0.990 0.000
Be 0.510 0.510 0.000
Os 0.750 0.250 0.500
W 0.250 0.750 0.500
CELL_PARAMETERS angstrom
-3.822 2.250 -1.611
-2.995 -2.893 -2.218
2.113 0.843 4.134

# 3
! BeOsW PBE-GGA optimized geometry; values from VASP
! - Symmetry: Cmcm, No. 63
! - DFT formation energy: 0.008 eV per atom
! - Mass density: 16.54 g cm⁻³
&SYSTEM
  ibrav = 0, nat = 6, ntyp = 3
/
ATOMIC_SPECIES
Os 190.23 Os.upf
Be 9.01 Be.upf
W 183.84 W.upf
ATOMIC_POSITIONS crystal
Os 0.250 0.093 0.813
Os 0.750 0.907 0.187
Be 0.250 0.464 0.072
Be 0.750 0.536 0.928
W 0.750 0.700 0.600
W 0.250 0.300 0.400
CELL_PARAMETERS angstrom
3.599 0.000 0.000
0.000 2.870 0.000
0.000 1.435 7.448

# 4
! Y2BeOs PBE-GGA optimized geometry; values from VASP
! - Symmetry: Imm2, No. 44
! - DFT formation energy: -0.035 eV per atom
! - Mass density: 7.86 g cm⁻³
&SYSTEM
  ibrav = 0, nat = 4, ntyp = 3
/
ATOMIC_SPECIES
Y 88.91 Y.upf
Be 9.01 Be.upf
Os 190.23 Os.upf
ATOMIC_POSITIONS crystal
Y 0.018 0.018 0.000
Y 0.730 0.230 0.500
Be 0.450 0.450 0.000
Os 0.301 0.801 0.500
CELL_PARAMETERS angstrom
-4.732 -1.017 3.138
-0.611 -5.052 2.717
3.308 4.683 -0.639

# 5
! Y3BeOs PBE-GGA optimized geometry; values from VASP
! - Symmetry: Pm-3m, No. 221
! - DFT formation energy: 0.422 eV per atom
! - Mass density: 5.08 g cm⁻³
&SYSTEM
  ibrav = 0, nat = 5, ntyp = 3
/
ATOMIC_SPECIES
Y 88.91 Y.upf
Be 9.01 Be.upf
Os 190.23 Os.upf
ATOMIC_POSITIONS crystal
Y 0.000 0.500 0.000
Y 0.000 0.000 0.500
Y 0.500 0.000 0.000
Be 0.500 0.500 0.500
Os 0.000 0.000 0.000
CELL_PARAMETERS angstrom
-3.641 3.679 -1.313
-3.772 -3.778 -0.125
-1.015 0.842 5.174

# 6
! YBe17Os PBE-GGA optimized geometry; values from VASP
! - Symmetry: R3m, No. 160
! - DFT formation energy: -0.090 eV per atom
! - Mass density: 4.10 g cm⁻³
&SYSTEM
  ibrav = 0, nat = 19, ntyp = 3
/
ATOMIC_SPECIES
Y 88.91 Y.upf
Be 9.01 Be.upf
Os 190.23 Os.upf
ATOMIC_POSITIONS crystal
Y 0.658 0.658 0.658
Be 0.289 0.009 0.702
Be 0.702 0.289 0.009
Be 0.009 0.702 0.289
Be 0.289 0.702 0.009
Be 0.009 0.289 0.702
Be 0.702 0.009 0.289
Be 0.340 0.865 0.340
Be 0.340 0.340 0.865
Be 0.865 0.340 0.340
Be 0.647 0.168 0.647
Be 0.647 0.647 0.168
Be 0.168 0.647 0.647
Be 0.997 0.504 0.997
Be 0.997 0.997 0.504
Be 0.504 0.997 0.997
Be 0.909 0.909 0.909
Be 0.102 0.102 0.102
Os 0.325 0.325 0.325
CELL_PARAMETERS angstrom
5.594 0.005 0.666
0.592 5.562 0.666
0.006 0.005 5.633